VASP calculation (PBE) on a relaxed structure of BaDyNpO6.

a = 5.8729 Å, b = 5.8729 Å, c = 10.9999 Å
α = 90.00°, β = 90.00°, γ = 120.00°
Atoms (fractional coordinates):
Ba 0.0000 0.0000 0.0000
Ba 0.0000 0.0000 0.5000
Dy 0.3333 0.6667 0.2500
Dy 0.6667 0.3333 0.7500
Np 0.3333 0.6667 0.7500
Np 0.6667 0.3333 0.2500
O 0.0300 0.3921 0.6493
O 0.0300 0.6379 0.8507
O 0.3621 0.3921 0.8507
O 0.3621 0.9700 0.6493
O 0.3921 0.0300 0.1493
O 0.3921 0.3621 0.3507
O 0.6079 0.6379 0.6493
O 0.6079 0.9700 0.8507
O 0.6379 0.0300 0.3507
O 0.6379 0.6079 0.1493
O 0.9700 0.3621 0.1493
O 0.9700 0.6079 0.3507

Formation energy from raw total energies ... -3004 meV/atom
VASP energy ... -8.473 eV/atom

---

VASP calculation (PBE) on a relaxed structure of Ba3Dy4O9.

a = 9.2545 Å, b = 9.2545 Å, c = 9.2545 Å
α = 38.82°, β = 38.82°, γ = 38.82°
Atoms (fractional coordinates):
Ba 0.0000 0.0000 0.0000
Ba 0.1662 0.1662 0.1662
Ba 0.5881 0.5881 0.5881
Dy 0.3008 0.3008 0.3008
Dy 0.4266 0.4266 0.4266
Dy 0.7393 0.7393 0.7393
Dy 0.8645 0.8645 0.8645
O 0.0185 0.5842 0.1459
O 0.0382 0.4620 0.5771
O 0.1223 0.5797 0.7117
O 0.1459 0.0185 0.5842
O 0.4620 0.5771 0.0382
O 0.5771 0.0382 0.4620
O 0.5797 0.7117 0.1223
O 0.5842 0.1459 0.0185
O 0.7117 0.1223 0.5797

Formation energy from raw total energies ... -3171 meV/atom
VASP energy ... -7.471 eV/atom

---

VASP calculation (PBE) on a relaxed structure of BaDyO2.

a = 6.6802 Å, b = 6.6802 Å, c = 6.6802 Å
α = 30.83°, β = 30.83°, γ = 30.83°
Atoms (fractional coordinates):
Ba 0.0000 0.0000 0.0000
Dy 0.5000 0.5000 0.5000
O 0.2271 0.2271 0.2271
O 0.7729 0.7729 0.7729

Formation energy from raw total energies ... -2756 meV/atom
VASP energy ... -6.867 eV/atom

---

VASP calculation (PBE) on a relaxed structure of BaDy2O4.

a = 5.9570 Å, b = 5.9570 Å, c = 11.5148 Å
α = 90.00°, β = 90.00°, γ = 146.26°
Atoms (fractional coordinates):
Ba 0.1119 0.8881 0.7500
Ba 0.8881 0.1119 0.2500
Dy 0.3657 0.6343 0.5708
Dy 0.3657 0.6343 0.9292
Dy 0.6343 0.3657 0.0708
Dy 0.6343 0.3657 0.4292
O 0.0000 0.0000 0.0000
O 0.0000 0.0000 0.5000
O 0.2599 0.7401 0.1020
O 0.2599 0.7401 0.3980
O 0.4390 0.5610 0.7500
O 0.5610 0.4390 0.2500
O 0.7401 0.2599 0.6020
O 0.7401 0.2599 0.8980

Formation energy from raw total energies ... -3244 meV/atom
VASP energy ... -7.667 eV/atom

---

VASP calculation (PBE) on a relaxed structure of Ba3Dy2O6.

a = 11.3116 Å, b = 11.3116 Å, c = 11.3116 Å
α = 157.50°, β = 157.50°, γ = 32.04°
Atoms (fractional coordinates):
Ba 0.0000 0.0000 0.0000
Ba 0.1825 0.1825 0.0000
Ba 0.8175 0.8175 0.0000
Dy 0.3984 0.3984 0.0000
Dy 0.6016 0.6016 0.0000
O 0.0830 0.5830 0.5000
O 0.3007 0.3007 0.0000
O 0.4170 0.9170 0.5000
O 0.5830 0.0830 0.5000
O 0.6993 0.6993 0.0000
O 0.9170 0.4170 0.5000

Formation energy from raw total energies ... -2958 meV/atom
VASP energy ... -7.024 eV/atom

---

VASP calculation (PBE) on a relaxed structure of BaDyO2.

a = 6.9701 Å, b = 6.9701 Å, c = 6.9701 Å
α = 29.28°, β = 29.28°, γ = 29.28°
Atoms (fractional coordinates):
Ba 0.0000 0.0000 0.0000
Dy 0.1734 0.1734 0.1734
O 0.5653 0.5653 0.5653
O 0.7817 0.7817 0.7817

Formation energy from raw total energies ... -2645 meV/atom
VASP energy ... -6.755 eV/atom

---

VASP calculation (PBE) on a relaxed structure of Ba5DyO6.

a = 6.7008 Å, b = 6.7008 Å, c = 6.6507 Å
α = 99.53°, β = 99.53°, γ = 120.11°
Atoms (fractional coordinates):
Ba 0.0000 0.0000 0.0000
Ba 0.1675 0.8325 0.5000
Ba 0.3354 0.6646 0.0000
Ba 0.6646 0.3354 0.0000
Ba 0.8325 0.1675 0.5000
Dy 0.5000 0.5000 0.5000
O 0.1383 0.4260 0.2803
O 0.2860 0.2860 0.7270
O 0.4260 0.1383 0.2803
O 0.5740 0.8617 0.7197
O 0.7140 0.7140 0.2730
O 0.8617 0.5740 0.7197

Formation energy from raw total energies ... -2565 meV/atom
VASP energy ... -6.229 eV/atom

---

VASP calculation (PBE) on a relaxed structure of BaDy2O4.

a = 10.5055 Å, b = 3.4851 Å, c = 12.2069 Å
α = 90.00°, β = 90.00°, γ = 90.00°
Atoms (fractional coordinates):
Ba 0.2469 0.2500 0.1488
Ba 0.2531 0.7500 0.6488
Ba 0.7469 0.2500 0.3512
Ba 0.7531 0.7500 0.8512
Dy 0.0740 0.2500 0.3891
Dy 0.0774 0.2500 0.8907
Dy 0.4226 0.7500 0.3907
Dy 0.4260 0.7500 0.8891
Dy 0.5740 0.2500 0.1109
Dy 0.5774 0.2500 0.6093
Dy 0.9226 0.7500 0.1093
Dy 0.9260 0.7500 0.6109
O 0.0187 0.7500 0.7826
O 0.0700 0.2500 0.5741
O 0.1152 0.7500 0.0182
O 0.2096 0.7500 0.3414
O 0.2904 0.2500 0.8414
O 0.3848 0.2500 0.5182
O 0.4300 0.7500 0.0741
O 0.4813 0.2500 0.2826
O 0.5187 0.7500 0.7174
O 0.5700 0.2500 0.9259
O 0.6152 0.7500 0.4818
O 0.7096 0.7500 0.1586
O 0.7904 0.2500 0.6586
O 0.8848 0.2500 0.9818
O 0.9300 0.7500 0.4259
O 0.9813 0.2500 0.2174

Formation energy from raw total energies ... -3284 meV/atom
VASP energy ... -7.707 eV/atom

---

VASP calculation (PBE) on a relaxed structure of BaDyO2.

a = 7.1262 Å, b = 3.4550 Å, c = 15.3324 Å
α = 90.00°, β = 90.00°, γ = 90.00°
Atoms (fractional coordinates):
Ba 0.1212 0.2500 0.1150
Ba 0.3788 0.7500 0.6150
Ba 0.6212 0.2500 0.3850
Ba 0.8788 0.7500 0.8850
Dy 0.1295 0.2500 0.4223
Dy 0.3705 0.7500 0.9223
Dy 0.6295 0.2500 0.0777
Dy 0.8705 0.7500 0.5777
O 0.0932 0.2500 0.5655
O 0.1632 0.2500 0.9330
O 0.3368 0.7500 0.4330
O 0.4068 0.7500 0.0655
O 0.5932 0.2500 0.9345
O 0.6632 0.2500 0.5670
O 0.8368 0.7500 0.0670
O 0.9068 0.7500 0.4345

Formation energy from raw total energies ... -2695 meV/atom
VASP energy ... -6.805 eV/atom

---

VASP calculation (PBE) on a relaxed structure of BaDy2OsO8.

a = 5.1714 Å, b = 7.2155 Å, c = 5.1776 Å
α = 90.00°, β = 94.05°, γ = 90.00°
Atoms (fractional coordinates):
Ba 0.0000 0.0000 0.0000
Dy 0.5000 0.2366 0.5000
Dy 0.5000 0.7634 0.5000
Os 0.0000 0.5000 0.0000
O 0.1901 0.3164 0.1892
O 0.1901 0.6836 0.1892
O 0.2473 0.5000 0.7521
O 0.3302 0.0000 0.6680
O 0.6698 0.0000 0.3320
O 0.7527 0.5000 0.2479
O 0.8099 0.3164 0.8108
O 0.8099 0.6836 0.8108

Formation energy from raw total energies ... -2238 meV/atom
VASP energy ... -7.407 eV/atom

---

VASP calculation (PBE) on a relaxed structure of BaDyOsO6.

a = 5.6171 Å, b = 5.6171 Å, c = 5.6389 Å
α = 90.00°, β = 90.00°, γ = 120.00°
Atoms (fractional coordinates):
Ba 0.0000 0.0000 0.0000
Dy 0.3333 0.6667 0.5000
Os 0.6667 0.3333 0.5000
O 0.3983 0.0446 0.6945
O 0.3983 0.3537 0.3055
O 0.6463 0.0446 0.3055
O 0.6463 0.6017 0.6945
O 0.9554 0.3537 0.6945
O 0.9554 0.6017 0.3055

Formation energy from raw total energies ... -2133 meV/atom
VASP energy ... -7.411 eV/atom

---

VASP calculation (PBE) on a relaxed structure of BaDyP2O8.

a = 5.4399 Å, b = 5.4399 Å, c = 7.7746 Å
α = 90.00°, β = 90.00°, γ = 120.00°
Atoms (fractional coordinates):
Ba 0.0000 0.0000 0.0000
Dy 0.0000 0.0000 0.5000
P 0.3333 0.6667 0.7562
P 0.6667 0.3333 0.2438
O 0.1756 0.3569 0.6905
O 0.1813 0.8244 0.6905
O 0.3333 0.6667 0.9553
O 0.3569 0.1813 0.3095
O 0.6431 0.8187 0.6905
O 0.6667 0.3333 0.0447
O 0.8187 0.1756 0.3095
O 0.8244 0.6431 0.3095

Formation energy from raw total energies ... -2696 meV/atom
VASP energy ... -7.446 eV/atom